1.
# Er3BiN, optimized geometry, DFT PBE
data_Er3BiN
_chemical_formula_sum 'Er6 Bi2 N2'
_cell_length_a 6.8544
_cell_length_b 6.8544
_cell_length_c 8.5211
_cell_angle_alpha 126.87
_cell_angle_beta 126.87
_cell_angle_gamma 56.99
_space_group_name_H-M_alt 'P 1'
_space_group_IT_number 1
loop_
_space_group_symop_operation_xyz
'x,y,z'
loop_
_atom_site_label
_atom_site_fract_x
_atom_site_fract_y
_atom_site_fract_z
Er1 0.0230 0.5248 0.8359
Er2 0.0451 0.0451 0.3239
Er3 0.4752 0.9770 0.1641
Er4 0.5248 0.0230 0.8359
Er5 0.9549 0.9549 0.6761
Er6 0.9770 0.4752 0.1641
Bi1 0.4165 0.4165 0.6563
Bi2 0.5835 0.5835 0.3437
N1 0.2035 0.2035 0.9494
N2 0.7965 0.7965 0.0506
# **Crystal system**: monoclinic
# **N(E_F)**: 7.66 states/eV/cell
# **Energy relative to the elements, uncorrected**: -867 meV per atom



2.
# ErBiN, optimized geometry, DFT PBE
data_ErBiN
_chemical_formula_sum 'Er2 Bi2 N2'
_cell_length_a 3.5895
_cell_length_b 5.9897
_cell_length_c 7.0232
_cell_angle_alpha 103.60
_cell_angle_beta 104.76
_cell_angle_gamma 90.05
_space_group_name_H-M_alt 'P 1'
_space_group_IT_number 1
loop_
_space_group_symop_operation_xyz
'x,y,z'
loop_
_atom_site_label
_atom_site_fract_x
_atom_site_fract_y
_atom_site_fract_z
Er1 0.1464 0.3784 0.2925
Er2 0.8536 0.6216 0.7075
Bi1 0.4086 0.1512 0.8202
Bi2 0.5914 0.8488 0.1798
N1 0.3112 0.3993 0.6230
N2 0.6888 0.6007 0.3770
# **Crystal system**: triclinic
# **N(E_F)**: 2.45 states/eV/cell
# **Energy relative to the elements, uncorrected**: -696 meV per atom



3.
# Er5Bi2N, optimized geometry, DFT PBE
data_Er5Bi2N
_chemical_formula_sum 'Er10 Bi4 N2'
_cell_length_a 8.4310
_cell_length_b 8.4310
_cell_length_c 13.7847
_cell_angle_alpha 90.00
_cell_angle_beta 90.00
_cell_angle_gamma 149.65
_space_group_name_H-M_alt 'P 1'
_space_group_IT_number 1
loop_
_space_group_symop_operation_xyz
'x,y,z'
loop_
_atom_site_label
_atom_site_fract_x
_atom_site_fract_y
_atom_site_fract_z
Er1 0.1065 0.8935 0.6201
Er2 0.1065 0.8935 0.8799
Er3 0.2596 0.7404 0.2500
Er4 0.3052 0.6948 0.5582
Er5 0.3052 0.6948 0.9418
Er6 0.6948 0.3052 0.0582
Er7 0.6948 0.3052 0.4418
Er8 0.7404 0.2596 0.7500
Er9 0.8935 0.1065 0.1201
Er10 0.8935 0.1065 0.3799
Bi1 0.0824 0.9176 0.1260
Bi2 0.0824 0.9176 0.3740
Bi3 0.9176 0.0824 0.6260
Bi4 0.9176 0.0824 0.8740
N1 0.1887 0.8113 0.7500
N2 0.8113 0.1887 0.2500
# **Crystal system**: orthorhombic
# **N(E_F)**: 10.30 states/eV/cell
# **Energy relative to the elements, uncorrected**: -414 meV per atom



4.
# Er5Bi4N, optimized geometry, DFT PBE
data_Er5Bi4N
_chemical_formula_sum 'Er5 Bi4 N1'
_cell_length_a 7.3661
_cell_length_b 7.3661
_cell_length_c 7.3661
_cell_angle_alpha 100.38
_cell_angle_beta 100.38
_cell_angle_gamma 129.77
_space_group_name_H-M_alt 'P 1'
_space_group_IT_number 1
loop_
_space_group_symop_operation_xyz
'x,y,z'
loop_
_atom_site_label
_atom_site_fract_x
_atom_site_fract_y
_atom_site_fract_z
Er1 0.0000 0.0000 0.0000
Er2 0.1677 0.3186 0.6559
Er3 0.3186 0.6627 0.1509
Er4 0.5118 0.1677 0.8491
Er5 0.6627 0.5118 0.3441
Bi1 0.2223 0.9929 0.3918
Bi2 0.6010 0.8305 0.6082
Bi3 0.8305 0.2223 0.2294
Bi4 0.9929 0.6010 0.7706
N1 0.3576 0.3576 0.0000
# **Crystal system**: tetragonal
# **N(E_F)**: 2.62 states/eV/cell
# **Energy relative to the elements, uncorrected**: -819 meV per atom



5.
# Er6Bi2N, optimized geometry, DFT PBE
data_Er6Bi2N
_chemical_formula_sum 'Er12 Bi4 N2'
_cell_length_a 6.4400
_cell_length_b 7.6307
_cell_length_c 11.4892
_cell_angle_alpha 90.00
_cell_angle_beta 121.80
_cell_angle_gamma 90.00
_space_group_name_H-M_alt 'P 1'
_space_group_IT_number 1
loop_
_space_group_symop_operation_xyz
'x,y,z'
loop_
_atom_site_label
_atom_site_fract_x
_atom_site_fract_y
_atom_site_fract_z
Er1 0.1312 0.0208 0.2463
Er2 0.1312 0.4792 0.7463
Er3 0.1772 0.7192 0.0402
Er4 0.1772 0.7808 0.5402
Er5 0.3633 0.1650 0.0345
Er6 0.3633 0.3350 0.5345
Er7 0.6367 0.6650 0.4655
Er8 0.6367 0.8350 0.9655
Er9 0.8228 0.2192 0.4598
Er10 0.8228 0.2808 0.9598
Er11 0.8688 0.5208 0.2537
Er12 0.8688 0.9792 0.7537
Bi1 0.3269 0.1054 0.7427
Bi2 0.3269 0.3946 0.2427
Bi3 0.6731 0.6054 0.7573
Bi4 0.6731 0.8946 0.2573
N1 0.0000 0.0000 0.0000
N2 0.0000 0.5000 0.5000
# **Crystal system**: monoclinic
# **N(E_F)**: 17.48 states/eV/cell
# **Energy relative to the elements, uncorrected**: -651 meV per atom



6.
# Er2BiP2N6, optimized geometry, DFT PBE
data_Er2BiP2N6
_chemical_formula_sum 'Er2 Bi1 P2 N6'
_cell_length_a 6.2637
_cell_length_b 6.3379
_cell_length_c 6.3628
_cell_angle_alpha 63.45
_cell_angle_beta 60.69
_cell_angle_gamma 60.78
_space_group_name_H-M_alt 'P 1'
_space_group_IT_number 1
loop_
_space_group_symop_operation_xyz
'x,y,z'
loop_
_atom_site_label
_atom_site_fract_x
_atom_site_fract_y
_atom_site_fract_z
Er1 0.1881 0.1837 0.1837
Er2 0.8119 0.8163 0.8163
Bi1 0.5000 0.5000 0.5000
P1 0.2634 0.8296 0.8276
P2 0.7366 0.1704 0.1724
N1 0.2116 0.9568 0.5693
N2 0.2130 0.5696 0.9540
N3 0.3473 0.9408 0.9382
N4 0.6527 0.0592 0.0618
N5 0.7870 0.4304 0.0460
N6 0.7884 0.0432 0.4307
# **Crystal system**: triclinic
# **N(E_F)**: 0.44 states/eV/cell
# **Energy relative to the elements, uncorrected**: -529 meV per atom